No. 1
CaMg3Cu after structural relaxation. Source: Alexandria via LeMat-Bulk, functional PBE.

Summary:
D(E_F)	3.03	states/eV/f.u.
space group	Cmcm
energy	-2.212	eV per atom
relative energy among the computed polymorphs	71	meV/atom

Cell: 7.004 7.004 5.567 Å, 90.00 90.00 120.11°
Sites, in units of the cell vectors:
Ca 0.336 0.664 0.750
Mg 0.818 0.182 0.750
Mg 0.822 0.636 0.750
Cu 0.000 0.000 0.000
Mg 0.636 0.822 0.250
Ca 0.664 0.336 0.250
Mg 0.178 0.364 0.250
Mg 0.182 0.818 0.250
Mg 0.364 0.178 0.750
Cu 0.000 0.000 0.500

***

No. 2
Y2TmAg2 after structural relaxation. Source: Alexandria via LeMat-Bulk, functional PBE.

Summary:
D(E_F)	4.02	states/eV/f.u.
space group	Cmcm
energy	-4.862	eV per atom
relative energy among the computed polymorphs	0	meV/atom

Cell: 3.631 5.216 13.534 Å, 90.00 97.70 90.00°
Sites, in units of the cell vectors:
Ag 0.451 0.750 0.901
Y 0.047 0.750 0.094
Ag 0.642 0.750 0.283
Y 0.766 0.250 0.533
Ag 0.358 0.250 0.717
Ag 0.549 0.250 0.099
Y 0.234 0.750 0.467
Y 0.953 0.250 0.906
Tm 0.145 0.250 0.290
Tm 0.855 0.750 0.710

***

No. 3
PuMnAu11 after structural relaxation. Source: Alexandria via LeMat-Bulk, functional PBE.

Summary:
D(E_F)	20.12	states/eV/f.u.
space group	C2/m
energy	-4.698	eV per atom

Cell: 5.608 7.313 7.268 Å, 81.23 67.30 66.71°
Sites, in units of the cell vectors:
Au 0.506 0.216 0.789
Au 0.638 0.351 0.338
Au 0.000 0.000 0.500
Au 0.024 0.649 0.338
Au 0.500 0.000 0.500
Mn 0.500 0.500 0.000
Pu 0.000 0.000 0.000
Au 0.976 0.351 0.662
Au 0.000 0.500 0.000
Au 0.295 0.216 0.211
Au 0.494 0.784 0.211
Au 0.362 0.649 0.662
Au 0.705 0.784 0.789

***

No. 4
NaLi2RuF6 after structural relaxation. Source: Alexandria via LeMat-Bulk, functional PBE.

Summary:
D(E_F)	10.36	states/eV/f.u.
formation energy (no corrections)	-2.09	eV per atom
space group	Fm-3m
energy	-4.659	eV per atom
relative energy among the computed polymorphs	261	meV/atom

Cell: 5.873 5.873 5.873 Å, 60.00 60.00 60.00°
Sites, in units of the cell vectors:
Li 0.750 0.750 0.750
F 0.241 0.759 0.759
Na 0.500 0.500 0.500
F 0.759 0.241 0.759
Ru 0.000 0.000 0.000
F 0.759 0.759 0.241
F 0.241 0.759 0.241
Li 0.250 0.250 0.250
F 0.241 0.241 0.759
F 0.759 0.241 0.241

***

No. 5
Pm2SmIrO8 after structural relaxation. Source: Alexandria via LeMat-Bulk, functional PBE.

Summary:
D(E_F)	5.57	states/eV/f.u.
formation energy (no corrections)	-2.26	eV per atom
space group	Cmmm
energy	-7.489	eV per atom

Cell: 5.169 5.165 6.969 Å, 90.00 90.00 90.20°
Sites, in units of the cell vectors:
Pm 0.500 0.500 0.249
Pm 0.500 0.500 0.751
O 0.309 0.308 0.500
O 0.820 0.180 0.206
O 0.739 0.740 0.000
Ir 0.000 0.000 0.000
O 0.691 0.692 0.500
O 0.261 0.260 0.000
O 0.820 0.180 0.794
O 0.180 0.820 0.206
O 0.180 0.820 0.794
Sm 0.000 0.000 0.500

***

No. 6
Tb12Ho6Cd after structural relaxation. Source: Alexandria via LeMat-Bulk, functional PBE.

Summary:
D(E_F)	30.61	states/eV/f.u.
space group	R-3m
energy	-4.297	eV per atom

Cell: 8.558 8.558 8.558 Å, 97.11 97.11 97.11°
Sites, in units of the cell vectors:
Tb 0.170 0.582 0.582
Ho 0.864 0.593 0.865
Ho 0.593 0.865 0.864
Tb 0.000 0.740 0.260
Tb 0.000 0.260 0.740
Ho 0.136 0.407 0.135
Cd 0.000 0.000 0.000
Tb 0.260 0.000 0.740
Ho 0.135 0.136 0.407
Tb 0.418 0.418 0.830
Tb 0.582 0.170 0.582
Tb 0.830 0.418 0.418
Tb 0.418 0.830 0.418
Tb 0.740 0.000 0.260
Ho 0.407 0.135 0.136
Ho 0.865 0.864 0.593
Tb 0.582 0.582 0.170
Tb 0.740 0.260 0.000
Tb 0.260 0.740 0.000

***

No. 7
Mg2Zn2Sn after structural relaxation. Source: Alexandria via LeMat-Bulk, functional PBE.

Summary:
D(E_F)	1.71	states/eV/f.u.
space group	P4/mbm
energy	-1.920	eV per atom

Cell: 8.196 8.196 3.094 Å, 90.00 90.00 90.00°
Sites, in units of the cell vectors:
Sn 0.000 0.000 0.000
Mg 0.866 0.634 0.000
Zn 0.336 0.164 0.500
Mg 0.134 0.366 0.000
Zn 0.164 0.664 0.500
Mg 0.634 0.134 0.000
Sn 0.500 0.500 0.000
Zn 0.664 0.836 0.500
Zn 0.836 0.336 0.500
Mg 0.366 0.866 0.000

***

No. 8
VCuTc2Pt after structural relaxation. Source: Alexandria via LeMat-Bulk, functional PBE.

Summary:
D(E_F)	7.79	states/eV/f.u.
space group	P4/mmm
energy	-6.175	eV per atom

Cell: 4.722 4.539 4.722 Å, 90.00 90.00 90.00°
Sites, in units of the cell vectors:
Tc 0.500 0.000 0.000
V 0.500 0.500 0.500
Cu 0.000 0.500 0.000
Pt 0.000 0.000 0.000
Tc 0.000 0.000 0.500

***

No. 9
Li2CaHg after structural relaxation. Source: Alexandria via LeMat-Bulk, functional PBE.

Summary:
D(E_F)	2.07	states/eV/f.u.
space group	I-42d
energy	-1.680	eV per atom

Cell: 4.392 4.392 10.998 Å, 78.48 78.48 90.00°
Sites, in units of the cell vectors:
Hg 0.750 0.250 0.500
Li 0.058 0.625 0.250
Ca 0.250 0.750 0.500
Hg 0.000 0.000 0.000
Li 0.692 0.125 0.250
Ca 0.500 0.500 0.000
Li 0.375 0.308 0.750
Li 0.875 0.942 0.750

***

No. 10
Dy3HoTm3Te8 after structural relaxation. Source: Alexandria via LeMat-Bulk, functional PBE.

Summary:
D(E_F)	6.62	states/eV/f.u.
formation energy (no corrections)	-1.32	eV per atom
space group	R-3m
energy	-5.117	eV per atom

Cell: 8.623 8.622 8.622 Å, 120.01 90.00 120.00°
Sites, in units of the cell vectors:
Te 0.744 0.488 0.247
Te 0.256 0.997 0.753
Te 0.741 0.997 0.753
Ho 0.000 0.000 0.500
Dy 0.000 0.500 0.000
Te 0.251 0.503 0.254
Te 0.256 0.512 0.753
Te 0.259 0.003 0.247
Tm 0.000 0.500 0.500
Dy 0.000 0.000 0.000
Te 0.744 0.003 0.247
Te 0.749 0.497 0.746
Tm 0.500 0.000 0.500
Dy 0.500 0.500 0.000
Tm 0.500 0.500 0.500

***

No. 11
KOsPt2 after structural relaxation. Source: Alexandria via LeMat-Bulk, functional PBE.

Summary:
D(E_F)	3.58	states/eV/f.u.
space group	Pmmm
energy	-5.149	eV per atom
relative energy among the computed polymorphs	688	meV/atom

Cell: 2.686 5.358 5.032 Å, 90.00 90.00 90.00°
Sites, in units of the cell vectors:
Pt 0.500 0.500 0.000
K 0.500 0.000 0.500
Pt 0.000 0.000 0.000
Os 0.000 0.500 0.500

***

No. 12
MgBeZn2 after structural relaxation. Source: Alexandria via LeMat-Bulk, functional PBE.

Summary:
D(E_F)	1.00	states/eV/f.u.
space group	P2/m
energy	-1.821	eV per atom
relative energy among the computed polymorphs	38	meV/atom

Cell: 4.052 2.932 5.198 Å, 74.42 90.00 90.00°
Sites, in units of the cell vectors:
Mg 0.500 0.750 0.750
Zn 0.000 0.380 0.474
Zn 0.000 0.120 0.026
Be 0.500 0.250 0.250